[1]
The following is a DFT calculation (PBE) of a geometry-optimized SnAsS2N structure.

a b c (Å): 5.0783 5.0783 3.9297
angles (deg): 90.00 90.00 90.00
With the nearest neighbours (Å) after each atom.
Positions (direct):
Sn 0.0000 0.0000 0.0000  2 N 1.96
As 0.5000 0.5000 0.5000  8 S 3.21, 4 N 3.59
S 0.0000 0.5000 0.0000  2 Sn 2.54
S 0.5000 0.0000 0.0000  2 Sn 2.54
N 0.0000 0.0000 0.5000  2 Sn 1.96

* uncorrected formation energy: 1.0108 eV per atom
* SG: P4/mmm
* E above lowest polymorph: 2.287 eV per formula unit
* D(E_F): 6.93 states/eV per cell
* crystal system: tetragonal



[2]
The following is a DFT calculation (PBE) of a geometry-optimized SrAsS2N structure.

a b c (Å): 5.6218 5.6218 4.7818
angles (deg): 90.00 90.00 90.00
With the nearest neighbours (Å) after each atom.
Positions (direct):
Sr 0.0000 0.0000 0.0000  2 N 2.39
As 0.5000 0.5000 0.5000  8 S 3.69, 4 N 3.98
S 0.0000 0.5000 0.0000  2 Sr 2.81
S 0.5000 0.0000 0.0000  2 Sr 2.81
N 0.0000 0.0000 0.5000  2 Sr 2.39

* uncorrected formation energy: 1.1397 eV per atom
* SG: P4/mmm
* E above lowest polymorph: 6.767 eV per formula unit
* D(E_F): 4.01 states/eV per cell
* crystal system: tetragonal



[3]
The following is a DFT calculation (PBE) of a geometry-optimized SrAsS2N structure.

a b c (Å): 4.9879 4.9879 3.8812
angles (deg): 90.00 90.00 90.00
With the nearest neighbours (Å) after each atom.
Positions (direct):
Sr 0.0000 0.0000 0.0000  8 S 3.16, 4 N 3.53
As 0.5000 0.5000 0.5000  2 N 1.94
S 0.0000 0.5000 0.5000  2 As 2.49
S 0.5000 0.0000 0.5000  2 As 2.49
N 0.5000 0.5000 0.0000  2 As 1.94

* uncorrected formation energy: -0.2137 eV per atom
* SG: P4/mmm
* E above lowest polymorph: 0.000 eV per formula unit
* D(E_F): 1.90 states/eV per cell
* crystal system: tetragonal



[4]
The following is a DFT calculation (PBE) of a geometry-optimized Sr6As2SN structure.

a b c (Å): 7.1704 7.9992 12.6718
angles (deg): 90.00 124.32 90.00
With the nearest neighbours (Å) after each atom.
Positions (direct):
Sr 0.1141 0.0415 0.2338  1 N 2.61
Sr 0.1141 0.4585 0.7338  1 N 2.61
Sr 0.2314 0.7091 0.0610  1 N 2.71, 1 S 2.96
Sr 0.2314 0.7909 0.5610  1 N 2.71, 1 S 2.96
Sr 0.3586 0.1757 0.0601  1 N 2.64
Sr 0.3586 0.3243 0.5601  1 N 2.64
Sr 0.6414 0.6757 0.4399  1 N 2.64
Sr 0.6414 0.8243 0.9399  1 N 2.64
Sr 0.7686 0.2091 0.4390  1 N 2.71, 1 S 2.96
Sr 0.7686 0.2909 0.9390  1 N 2.71, 1 S 2.96
Sr 0.8859 0.5415 0.2662  1 N 2.61
Sr 0.8859 0.9585 0.7662  1 N 2.61
As 0.2865 0.0908 0.7483  6 Sr 3.15-3.31
As 0.2865 0.4092 0.2483  6 Sr 3.15-3.31
As 0.7135 0.5908 0.7517  6 Sr 3.15-3.31
As 0.7135 0.9092 0.2517  6 Sr 3.15-3.31
S 0.5000 0.0000 0.5000  6 Sr 2.94-3.03
S 0.5000 0.5000 0.0000  6 Sr 2.94-3.03
N 0.0000 0.0000 0.0000  6 Sr 2.61-2.71
N 0.0000 0.5000 0.5000  6 Sr 2.61-2.71

* uncorrected formation energy: -1.1096 eV per atom
* SG: P2_1/c
* D(E_F): 7.31 states/eV per cell
* crystal system: monoclinic



[5]
The following is a DFT calculation (PBE) of a geometry-optimized TaAsSN2 structure.

a b c (Å): 3.9958 3.9958 5.0976
angles (deg): 90.00 90.00 90.00
With the nearest neighbours (Å) after each atom.
Positions (direct):
Ta 0.0000 0.0000 0.0000  4 N 2.00
As 0.5000 0.5000 0.5000  4 S 2.83
S 0.0000 0.0000 0.5000  2 Ta 2.55, 4 As 2.83
N 0.0000 0.5000 0.0000  2 Ta 2.00
N 0.5000 0.0000 0.0000  2 Ta 2.00

* uncorrected formation energy: 0.3865 eV per atom
* SG: P4/mmm
* D(E_F): 3.41 states/eV per cell
* crystal system: tetragonal



[6]
The following is a DFT calculation (PBE) of a geometry-optimized TaAsS2N structure.

a b c (Å): 4.7247 4.7247 3.5906
angles (deg): 90.00 90.00 90.00
With the nearest neighbours (Å) after each atom.
Positions (direct):
Ta 0.0000 0.0000 0.0000  8 S 2.97
As 0.5000 0.5000 0.5000  2 N 1.80
S 0.0000 0.5000 0.5000  2 As 2.36
S 0.5000 0.0000 0.5000  2 As 2.36
N 0.5000 0.5000 0.0000  2 As 1.80

* uncorrected formation energy: 0.9925 eV per atom
* SG: P4/mmm
* E above lowest polymorph: 4.134 eV per formula unit
* D(E_F): 4.43 states/eV per cell
* crystal system: tetragonal



[7]
The following is a DFT calculation (PBE) of a geometry-optimized TaAsS2N structure.

a b c (Å): 4.9197 4.9197 3.8708
angles (deg): 90.00 90.00 90.00
With the nearest neighbours (Å) after each atom.
Positions (direct):
Ta 0.0000 0.0000 0.0000  2 N 1.94
As 0.5000 0.5000 0.5000  8 S 3.13, 4 N 3.48
S 0.0000 0.5000 0.0000  2 Ta 2.46
S 0.5000 0.0000 0.0000  2 Ta 2.46
N 0.0000 0.0000 0.5000  2 Ta 1.94

* uncorrected formation energy: 0.1657 eV per atom
* SG: P4/mmm
* E above lowest polymorph: 0.000 eV per formula unit
* D(E_F): 3.50 states/eV per cell
* crystal system: tetragonal



[8]
The following is a DFT calculation (PBE) of a geometry-optimized Tb6AsS3N2 structure.

a b c (Å): 8.6187 8.6187 7.7713
angles (deg): 104.08 104.08 25.37
With the nearest neighbours (Å) after each atom.
Positions (direct):
Tb 0.0192 0.0192 0.2657  1 N 2.48, 2 S 2.70, 2 As 2.76
Tb 0.3216 0.3216 0.4354  3 N 2.45-2.57
Tb 0.3275 0.3275 0.8790  2 N 2.54, 1 S 2.72, 1 As 2.82
Tb 0.6725 0.6725 0.1210  2 N 2.54, 1 S 2.72, 1 As 2.82
Tb 0.6784 0.6784 0.5646  3 N 2.45-2.57
Tb 0.9808 0.9808 0.7343  1 N 2.48, 2 S 2.70, 2 As 2.76
As 0.5000 0.5000 0.0000  6 Tb 2.76-2.82
S 0.1619 0.1619 0.8311  6 Tb 2.72-2.95
S 0.5000 0.5000 0.5000  6 Tb 2.70-2.92
S 0.8381 0.8381 0.1689  6 Tb 2.72-2.95
N 0.1713 0.1713 0.3382  6 Tb 2.45-2.57
N 0.8287 0.8287 0.6618  6 Tb 2.45-2.57

* uncorrected formation energy: -1.7705 eV per atom
* SG: C2/m
* D(E_F): 3.42 states/eV per cell
* crystal system: monoclinic



[9]
The following is a DFT calculation (PBE) of a geometry-optimized TcAsS2N structure.

a b c (Å): 4.8389 4.8389 3.5578
angles (deg): 90.00 90.00 90.00
With the nearest neighbours (Å) after each atom.
Positions (direct):
Tc 0.0000 0.0000 0.0000  8 S 3.00
As 0.5000 0.5000 0.5000  2 N 1.78
S 0.0000 0.5000 0.5000  2 As 2.42
S 0.5000 0.0000 0.5000  2 As 2.42
N 0.5000 0.5000 0.0000  2 As 1.78

* uncorrected formation energy: 1.2235 eV per atom
* SG: P4/mmm
* E above lowest polymorph: 3.826 eV per formula unit
* D(E_F): 3.62 states/eV per cell
* crystal system: tetragonal



[10]
The following is a DFT calculation (PBE) of a geometry-optimized TcAsS2N structure.

a b c (Å): 4.7998 4.7998 3.6953
angles (deg): 90.00 90.00 90.00
With the nearest neighbours (Å) after each atom.
Positions (direct):
Tc 0.0000 0.0000 0.0000  2 N 1.85
As 0.5000 0.5000 0.5000  8 S 3.03
S 0.0000 0.5000 0.0000  2 Tc 2.40
S 0.5000 0.0000 0.0000  2 Tc 2.40
N 0.0000 0.0000 0.5000  2 Tc 1.85

* uncorrected formation energy: 0.4583 eV per atom
* SG: P4/mmm
* E above lowest polymorph: 0.000 eV per formula unit
* D(E_F): 3.47 states/eV per cell
* crystal system: tetragonal



[11]
The following is a DFT calculation (PBE) of a geometry-optimized TcAsSN2 structure.

a b c (Å): 3.8346 3.8346 5.0523
angles (deg): 90.00 90.00 90.00
With the nearest neighbours (Å) after each atom.
Positions (direct):
Tc 0.0000 0.0000 0.0000  4 N 1.92
As 0.5000 0.5000 0.5000  4 S 2.71
S 0.0000 0.0000 0.5000  2 Tc 2.53, 4 As 2.71
N 0.0000 0.5000 0.0000  2 Tc 1.92
N 0.5000 0.0000 0.0000  2 Tc 1.92

* uncorrected formation energy: 0.7497 eV per atom
* SG: P4/mmm
* E above lowest polymorph: 0.000 eV per formula unit
* D(E_F): 2.76 states/eV per cell
* crystal system: tetragonal



[12]
The following is a DFT calculation (PBE) of a geometry-optimized TcAsSN2 structure.

a b c (Å): 3.6361 3.6361 5.8348
angles (deg): 90.00 90.00 90.00
With the nearest neighbours (Å) after each atom.
Positions (direct):
Tc 0.0000 0.0000 0.0000  4 S 2.57
As 0.5000 0.5000 0.5000  4 N 1.82
S 0.5000 0.5000 0.0000  4 Tc 2.57
N 0.0000 0.5000 0.5000  2 As 1.82
N 0.5000 0.0000 0.5000  2 As 1.82

* uncorrected formation energy: 1.4997 eV per atom
* SG: P4/mmm
* E above lowest polymorph: 3.750 eV per formula unit
* D(E_F): 2.02 states/eV per cell
* crystal system: tetragonal



The highest D(E_F) belongs to which entry? Sr6As2SN